DFT (PBE) results for a geometry-optimized Ac4N3 structure.

The structure in POSCAR format:
```
Ac4N3
1.0
-1.9186 -0.0531 -3.3885
1.6742 -1.5384 -3.1617
-5.1888 -12.4144 0.8947
Ac N
4 3
Direct
0.3719 0.3719 0.8844
0.1165 0.1165 0.6504
0.6281 0.6281 0.1156
0.8835 0.8835 0.3496
0.2473 0.2473 0.2581
0.0000 0.0000 0.0000
0.7527 0.7527 0.7419
```

Summary:
SG   No. 166
Energy above the lowest structure with this stoichiometry   0.000 eV/atom

---

DFT (PBE) results for a geometry-optimized MoWCN structure.

The structure in POSCAR format:
```
MoWCN
1.0
2.8739 0.0000 0.0000
0.0000 2.8809 0.0000
-1.4369 -1.4404 5.0292
N Mo W C
1 1 1 1
Direct
0.4096 0.9096 0.8192
0.8302 0.3302 0.6604
0.0800 0.0800 0.1601
0.6593 0.6593 0.3186
```

Summary:
SG   No. 44

---

| no. | formation energy without anion corrections (meV per atom) |
| --- | --- |
| 1 | -932 |
| 2 | -225 |